A plane-wave DFT calculation with PBE was carried out for a geometry-optimized ZrTiAs structure.

## Properties
Its crystal system is orthorhombic. The formation energy from the elements comes out at -1.91 eV per formula unit. Its total energy is -184.0 eV per cell.

```
data_ZrTiAs
_cell_length_a 5.368
_cell_length_b 9.483
_cell_length_c 8.611
_cell_angle_alpha 90.00
_cell_angle_beta 90.00
_cell_angle_gamma 90.00
_space_group_name_H-M_alt 'F d d 2'
_space_group_IT_number 43
_space_group_name_Hall 'F 2 -2d'
loop_
_atom_site_label
_atom_site_type_symbol
_atom_site_fract_x
_atom_site_fract_y
_atom_site_fract_z
Zr1 Zr 0.000 0.000 0.000
Ti1 Ti 0.000 0.000 0.647
As1 As 0.000 0.000 0.335
```


A plane-wave DFT calculation with PBE was carried out for a geometry-optimized CuAg3 structure.

## Properties
Its crystal system is hexagonal. The formation energy from the elements comes out at 0.39 eV per formula unit. Its total energy is -12.3 eV per cell.

```
data_CuAg3
_cell_length_a 2.8907
_cell_length_b 2.8907
_cell_length_c 9.2310
_cell_angle_alpha 90.00
_cell_angle_beta 90.00
_cell_angle_gamma 120.00
_space_group_name_H-M_alt 'P -6 m 2'
_space_group_IT_number 187
_space_group_name_Hall 'P -6 2'
loop_
_atom_site_label
_atom_site_type_symbol
_atom_site_fract_x
_atom_site_fract_y
_atom_site_fract_z
Cu1 Cu 0.0000 0.0000 0.0000
Ag1 Ag 0.0000 0.0000 0.5000
Ag2 Ag 0.6667 0.3333 0.2338
```


A plane-wave DFT calculation with PBE was carried out for a geometry-optimized Sr2Zn2In3 structure.

## Properties
Its crystal system is orthorhombic. The formation energy from the elements comes out at -2.03 eV per formula unit. Its total energy is -64.6 eV per cell.

```
data_Sr2Zn2In3
_cell_length_a 4.769
_cell_length_b 20.972
_cell_length_c 7.775
_cell_angle_alpha 90.00
_cell_angle_beta 90.00
_cell_angle_gamma 90.00
_space_group_name_H-M_alt 'C m c m'
_space_group_IT_number 63
_space_group_name_Hall '-C 2c 2'
loop_
_atom_site_label
_atom_site_type_symbol
_atom_site_fract_x
_atom_site_fract_y
_atom_site_fract_z
Sr1 Sr 0.000 0.054 0.250
Sr2 Sr 0.000 0.165 0.750
Zn1 Zn 0.000 0.317 0.573
In1 In 0.000 0.223 0.250
In2 In 0.000 0.436 0.068
```


A plane-wave DFT calculation with PBE was carried out for a geometry-optimized PmAlCu structure.

## Properties
Its crystal system is cubic. The value obtained for the offset from the most stable computed form is 143 meV/atom. The formation energy from the elements comes out at -0.67 eV per formula unit. Its total energy is -53.0 eV per cell.

```
data_PmAlCu
_cell_length_a 6.474
_cell_length_b 6.474
_cell_length_c 6.474
_cell_angle_alpha 90.00
_cell_angle_beta 90.00
_cell_angle_gamma 90.00
_space_group_name_H-M_alt 'F -4 3 m'
_space_group_IT_number 216
_space_group_name_Hall 'F -4 2 3'
loop_
_atom_site_label
_atom_site_type_symbol
_atom_site_fract_x
_atom_site_fract_y
_atom_site_fract_z
Pm1 Pm 0.000 0.000 0.000
Al1 Al 0.000 0.000 0.500
Cu1 Cu 0.250 0.250 0.750
```


A plane-wave DFT calculation with PBE was carried out for a geometry-optimized SiRh2W structure.

## Properties
The calculation puts the uncorrected formation energy at -0.291 eV/atom. Its crystal system is trigonal. Its total energy is -102.7 eV per cell.

```
data_SiRh2W
_cell_length_a 2.7964
_cell_length_b 2.7964
_cell_length_c 25.1946
_cell_angle_alpha 90.00
_cell_angle_beta 90.00
_cell_angle_gamma 120.00
_space_group_name_H-M_alt 'R -3 m'
_space_group_IT_number 166
_space_group_name_Hall '-R 3 2"'
loop_
_atom_site_label
_atom_site_type_symbol
_atom_site_fract_x
_atom_site_fract_y
_atom_site_fract_z
Si1 Si 0.0000 0.0000 0.0000
Rh1 Rh 0.0000 0.0000 0.2573
W1 W 0.0000 0.0000 0.5000
```


A plane-wave DFT calculation with PBE was carried out for a geometry-optimized Er4Al structure.

## Properties
Its crystal system is cubic. The value obtained for the offset from the most stable computed form is 500 meV/atom. The formation energy from the elements comes out at 1.74 eV per formula unit. Its total energy is -20.3 eV per cell.

```
data_Er4Al
_cell_length_a 5.501
_cell_length_b 5.501
_cell_length_c 5.501
_cell_angle_alpha 90.00
_cell_angle_beta 90.00
_cell_angle_gamma 90.00
_space_group_name_H-M_alt 'P m -3 m'
_space_group_IT_number 221
_space_group_name_Hall '-P 4 2 3'
loop_
_atom_site_label
_atom_site_type_symbol
_atom_site_fract_x
_atom_site_fract_y
_atom_site_fract_z
Er1 Er 0.000 0.000 0.000
Er2 Er 0.000 0.500 0.500
Al1 Al 0.500 0.500 0.500
```


A plane-wave DFT calculation with PBE was carried out for a geometry-optimized Sm3DySe6 structure.

## Properties
The calculation puts the uncorrected formation energy at -1.860 eV/atom. Its crystal system is trigonal. Its total energy is -349.6 eV per cell.

```
data_Sm3DySe6
_cell_length_a 12.1687
_cell_length_b 12.1687
_cell_length_c 14.4857
_cell_angle_alpha 90.00
_cell_angle_beta 90.00
_cell_angle_gamma 120.00
_space_group_name_H-M_alt 'R -3'
_space_group_IT_number 148
_space_group_name_Hall '-R 3'
loop_
_atom_site_label
_atom_site_type_symbol
_atom_site_fract_x
_atom_site_fract_y
_atom_site_fract_z
Sm1 Sm 0.0519 0.2715 0.2016
Dy1 Dy 0.0000 0.0000 0.0000
Dy2 Dy 0.0000 0.0000 0.5000
Se1 Se 0.0197 0.2101 0.3975
Se2 Se 0.0325 0.1939 0.8773
```


A plane-wave DFT calculation with PBE was carried out for a geometry-optimized HRu structure.

## Properties
Its crystal system is tetragonal. Its total energy is -47.9 eV per cell.

```
data_HRu
_cell_length_a 4.937
_cell_length_b 4.937
_cell_length_c 2.915
_cell_angle_alpha 90.00
_cell_angle_beta 90.00
_cell_angle_gamma 90.00
_space_group_name_H-M_alt 'P 42/m n m'
_space_group_IT_number 136
_space_group_name_Hall '-P 4n 2n'
loop_
_atom_site_label
_atom_site_type_symbol
_atom_site_fract_x
_atom_site_fract_y
_atom_site_fract_z
H1 H 0.160 0.160 0.000
Ru1 Ru 0.201 0.799 0.000
```